{
  "formula": "DyYPu2",
  "functional": "GGA-PBE",
  "state": "relaxed",
  "e_form_ev_per_fu": 1.39,
  "vol_a3_per_cell": 120,
  "magnetic_moment_mub_per_fu": 11.987,
  "space_group": "R-3m, No. 166",
  "lattice_angstrom": [[-1.5998, -1.6134, 2.5024], [-1.5449, -2.9451, -0.6038], [9.1748, -7.4394, 3.3516]],
  "species": ["Dy", "Y", "Pu", "Pu"],
  "fractional_positions": [[0.5000, 0.5000, 0.5000], [0.0000, 0.0000, 0.0000], [0.9134, 0.9134, 0.2597], [0.0866, 0.0866, 0.7403]]
}

{
  "formula": "Dy2Y12Pu",
  "functional": "GGA-PBE",
  "state": "relaxed",
  "e_form_ev_per_fu": 2.98,
  "vol_a3_per_cell": 985,
  "magnetic_moment_mub_per_fu": 8.111,
  "space_group": "Cmme, No. 67",
  "lattice_angstrom": [[6.5243, -1.5457, -0.0001], [-1.5457, 6.5243, -0.0001], [-0.0002, -0.0002, 24.5096]],
  "species": ["Y", "Y", "Y", "Y", "Y", "Y", "Y", "Y", "Y", "Y", "Y", "Y", "Y", "Y", "Y", "Y", "Y", "Y", "Y", "Y", "Y", "Y", "Y", "Y", "Pu", "Pu", "Dy", "Dy", "Dy", "Dy"],
  "fractional_positions": [[0.2621, 0.2379, 0.5620], [0.5000, 0.5000, 0.8034], [0.7411, 0.2411, 0.4123], [0.5000, 0.5000, 0.3244], [0.5000, 0.5000, 0.1966], [0.0000, 0.0000, 0.1966], [0.2503, 0.7503, 0.8749], [0.2497, 0.2503, 0.9280], [0.7379, 0.7621, 0.5620], [0.2379, 0.2621, 0.4380], [0.2497, 0.7497, 0.1251], [0.7497, 0.2497, 0.8749], [0.7621, 0.7379, 0.4380], [0.2589, 0.7589, 0.4123], [0.5000, 0.5000, 0.6756], [0.7497, 0.7503, 0.0720], [0.0000, 0.0000, 0.8034], [0.7503, 0.2503, 0.1251], [0.7589, 0.2589, 0.5877], [0.0000, 0.0000, 0.3244], [0.0000, 0.0000, 0.6756], [0.7503, 0.7497, 0.9280], [0.2411, 0.7411, 0.5877], [0.2503, 0.2497, 0.0720], [0.5000, 0.0000, 0.9999], [0.0000, 0.5000, 0.0001], [0.5000, 0.0000, 0.7332], [0.0000, 0.5000, 0.2668], [0.0000, 0.5000, 0.7361], [0.5000, 0.0000, 0.2639]]
}

{
  "formula": "Dy2Y5Pu",
  "functional": "GGA-PBE",
  "state": "relaxed",
  "e_form_ev_per_fu": 1.29,
  "vol_a3_per_cell": 508,
  "magnetic_moment_mub_per_fu": 7.602,
  "space_group": "P2_1/m, No. 11",
  "lattice_angstrom": [[5.6438, -0.0040, -0.0001], [-2.8251, 4.8738, 0.0000], [0.0002, 0.0000, 18.4740]],
  "species": ["Dy", "Dy", "Dy", "Dy", "Pu", "Pu", "Y", "Y", "Y", "Y", "Y", "Y", "Y", "Y", "Y", "Y"],
  "fractional_positions": [[0.6666, 0.3335, 0.4607], [0.6665, 0.3335, 0.0393], [0.3334, 0.6663, 0.9606], [0.3334, 0.6663, 0.5394], [0.9993, 0.9953, 0.7500], [0.0008, 0.0050, 0.2500], [0.0000, 0.0013, 0.0850], [0.9999, 0.9985, 0.5850], [0.0000, 0.0013, 0.4150], [0.6663, 0.3307, 0.8439], [0.9999, 0.9985, 0.9150], [0.6663, 0.3307, 0.6561], [0.3328, 0.6627, 0.7500], [0.3337, 0.6694, 0.3439], [0.6673, 0.3375, 0.2500], [0.3337, 0.6694, 0.1561]]
}

{
  "formula": "Dy2YPu",
  "functional": "GGA-PBE",
  "state": "relaxed",
  "e_form_ev_per_fu": 0.79,
  "vol_a3_per_cell": 123,
  "magnetic_moment_mub_per_fu": 7.230,
  "space_group": "Fm-3m, No. 225",
  "lattice_angstrom": [[-4.9518, 2.2623, 1.2601], [-4.4569, -1.0743, -3.1949], [-4.1273, -3.2208, 1.9538]],
  "species": ["Y", "Pu", "Dy", "Dy"],
  "fractional_positions": [[0.5000, 0.5000, 0.5000], [0.0000, 0.0000, 0.0000], [0.2500, 0.2500, 0.2500], [0.7500, 0.7500, 0.7500]]
}

{
  "formula": "Dy2Y8Pu",
  "functional": "GGA-PBE",
  "state": "relaxed",
  "e_form_ev_per_fu": 1.75,
  "vol_a3_per_cell": 361,
  "magnetic_moment_mub_per_fu": 7.955,
  "space_group": "C2/m, No. 12",
  "lattice_angstrom": [[6.2550, 0.0000, 3.1670], [-1.6214, 10.1490, 3.2024], [0.6738, 1.0318, 6.4298]],
  "species": ["Y", "Y", "Y", "Y", "Y", "Y", "Y", "Y", "Pu", "Dy", "Dy"],
  "fractional_positions": [[0.3205, 0.3744, 0.3589], [0.2316, 0.7284, 0.0321], [0.6849, 0.0543, 0.6301], [0.3151, 0.9457, 0.3699], [0.7364, 0.7284, 0.0321], [0.2636, 0.2716, 0.9679], [0.6795, 0.6256, 0.6411], [0.7684, 0.2716, 0.9679], [0.0000, 0.0000, 0.0000], [0.8259, 0.4130, 0.3482], [0.1741, 0.5870, 0.6518]]
}

{
  "formula": "Dy7Y12Pu",
  "functional": "GGA-PBE",
  "state": "relaxed",
  "e_form_ev_per_fu": 3.02,
  "vol_a3_per_cell": 642,
  "magnetic_moment_mub_per_fu": 5.233,
  "space_group": "R-3, No. 148",
  "lattice_angstrom": [[9.4939, -0.3698, -0.5551], [-2.9951, 9.0166, -0.5551], [-2.9951, -3.9851, 8.1072]],
  "species": ["Dy", "Dy", "Dy", "Dy", "Dy", "Dy", "Dy", "Y", "Y", "Y", "Y", "Y", "Y", "Y", "Y", "Y", "Y", "Y", "Y", "Pu"],
  "fractional_positions": [[0.4526, 0.2829, 0.1527], [0.5000, 0.5000, 0.5000], [0.7171, 0.8473, 0.5474], [0.1527, 0.4526, 0.2829], [0.2829, 0.1527, 0.4526], [0.8473, 0.5474, 0.7171], [0.5474, 0.7171, 0.8473], [0.9087, 0.6179, 0.4065], [0.1529, 0.0903, 0.7270], [0.9097, 0.2730, 0.8471], [0.5935, 0.0913, 0.3821], [0.3821, 0.5935, 0.0913], [0.0903, 0.7270, 0.1529], [0.4065, 0.9087, 0.6179], [0.2730, 0.8471, 0.9097], [0.7270, 0.1529, 0.0903], [0.8471, 0.9097, 0.2730], [0.6179, 0.4065, 0.9087], [0.0913, 0.3821, 0.5935], [0.0000, 0.0000, 0.0000]]
}

{
  "formula": "Dy8Y6Pu",
  "functional": "GGA-PBE",
  "state": "relaxed",
  "e_form_ev_per_fu": 1.69,
  "vol_a3_per_cell": 478,
  "magnetic_moment_mub_per_fu": 6.674,
  "space_group": "R-3, No. 148",
  "lattice_angstrom": [[-5.4403, 2.2895, 6.1957], [-8.3249, -0.2292, -1.9672], [-4.5812, -6.2902, 3.5597]],
  "species": ["Pu", "Y", "Y", "Y", "Y", "Y", "Y", "Dy", "Dy", "Dy", "Dy", "Dy", "Dy", "Dy", "Dy"],
  "fractional_positions": [[0.0000, 0.0000, 0.0000], [0.2263, 0.1094, 0.5451], [0.5451, 0.2263, 0.1094], [0.1094, 0.5451, 0.2263], [0.8906, 0.4549, 0.7737], [0.4549, 0.7737, 0.8906], [0.7737, 0.8906, 0.4549], [0.7175, 0.7518, 0.1110], [0.8890, 0.2825, 0.2482], [0.2482, 0.8890, 0.2825], [0.4238, 0.4238, 0.4238], [0.2825, 0.2482, 0.8890], [0.5762, 0.5762, 0.5762], [0.7518, 0.1110, 0.7175], [0.1110, 0.7175, 0.7518]]
}

{
  "formula": "Dy7Y12Pu",
  "functional": "GGA-PBE",
  "state": "relaxed",
  "e_form_ev_per_fu": 6.44,
  "vol_a3_per_cell": 644,
  "magnetic_moment_mub_per_fu": 0.000,
  "space_group": "R-3, No. 148",
  "lattice_angstrom": [[9.1010, 3.8895, -5.2862], [-9.9126, 2.0030, -4.8610], [0.2413, 0.0962, 11.2175]],
  "species": ["Y", "Y", "Y", "Y", "Y", "Y", "Y", "Y", "Y", "Y", "Y", "Y", "Dy", "Dy", "Dy", "Dy", "Dy", "Dy", "Dy", "Pu"],
  "fractional_positions": [[0.0858, 0.9135, 0.5002], [0.4998, 0.9142, 0.0865], [0.4383, 0.0865, 0.4375], [0.0865, 0.4998, 0.9142], [0.9142, 0.0865, 0.4998], [0.5617, 0.9135, 0.5625], [0.9135, 0.5002, 0.0858], [0.4375, 0.4383, 0.0865], [0.5625, 0.5617, 0.9135], [0.9135, 0.5625, 0.5617], [0.5002, 0.0858, 0.9135], [0.0865, 0.4375, 0.4383], [0.6595, 0.8948, 0.8957], [0.8957, 0.6595, 0.8948], [0.8948, 0.8957, 0.6595], [0.3405, 0.1052, 0.1043], [0.5000, 0.5000, 0.5000], [0.1043, 0.3405, 0.1052], [0.1052, 0.1043, 0.3405], [0.0000, 0.0000, 0.0000]]
}